## a
Density functional theory data (PBE) for a geometry-optimized PmZnAg2 structure.

Geometry as POSCAR:
```
PmZnAg2
1.0
5.613 0.000 0.000
0.000 7.548 0.000
0.000 0.000 7.965
Pm Zn Ag
4 4 8
Direct
0.865 0.750 0.455
0.135 0.250 0.545
0.365 0.250 0.045
0.635 0.750 0.955
0.131 0.750 0.113
0.631 0.250 0.387
0.369 0.750 0.613
0.869 0.250 0.887
0.400 0.944 0.319
0.900 0.056 0.181
0.100 0.944 0.819
0.600 0.056 0.681
0.600 0.444 0.681
0.100 0.556 0.819
0.400 0.556 0.319
0.900 0.444 0.181
```

Properties
Total magnetization (μB/f.u.): 0.0
SG: Pnma, No. 62



## b
Density functional theory data (PBE) for a geometry-optimized PmZnAg2 structure.

Geometry as POSCAR:
```
PmZnAg2
1.0
-4.553 0.479 0.888
-2.754 -3.760 0.151
-1.606 -1.522 4.835
Zn Pm Ag
1 1 2
Direct
0.500 0.500 0.500
0.000 0.000 0.000
0.221 0.221 0.336
0.779 0.779 0.664
```

Properties
Total magnetization (μB/f.u.): 0.0
SG: R-3m, No. 166



## c
Density functional theory data (PBE) for a geometry-optimized PmZnAg2 structure.

Geometry as POSCAR:
```
PmZnAg2
1.0
3.392 0.000 0.000
0.000 3.392 0.000
0.000 0.000 7.227
Zn Ag Pm
1 2 1
Direct
0.500 0.500 0.000
0.000 0.000 0.798
0.000 0.000 0.202
0.500 0.500 0.500
```

Properties
Total magnetization (μB/f.u.): 0.0
SG: P4/mmm, No. 123



Which structure is most stable? a, by 4.5 kJ/mol of atoms over the runner-up.



## a
Density functional theory data (PBE) for a geometry-optimized PmZn3Ag2 structure.

Geometry as POSCAR:
```
PmZn3Ag2
1.0
-3.762 -0.860 -2.345
2.228 -3.374 2.011
-7.125 1.730 10.794
Zn Ag Pm
6 4 2
Direct
0.000 0.000 0.500
0.000 0.000 0.000
0.667 0.333 0.870
0.667 0.333 0.630
0.333 0.667 0.370
0.333 0.667 0.130
0.333 0.667 0.581
0.667 0.333 0.081
0.667 0.333 0.419
0.333 0.667 0.919
0.000 0.000 0.750
0.000 0.000 0.250
```

Properties
Total magnetization (μB/f.u.): 0.0
SG: P6_3/mmc, No. 194



## b
Density functional theory data (PBE) for a geometry-optimized PmZn3Ag2 structure.

Geometry as POSCAR:
```
PmZn3Ag2
1.0
5.672 0.000 0.000
0.000 6.294 -1.513
0.000 0.438 6.459
Pm Zn Ag
2 6 4
Direct
0.750 0.343 0.343
0.250 0.657 0.657
0.250 0.132 0.431
0.250 0.034 0.034
0.750 0.569 0.868
0.250 0.431 0.132
0.750 0.966 0.966
0.750 0.868 0.569
0.000 0.774 0.226
0.500 0.774 0.226
0.000 0.226 0.774
0.500 0.226 0.774
```

Properties
Total magnetization (μB/f.u.): 0.0
SG: Cmcm, No. 63



Which structure is most stable? a, by 3.5 kJ/mol of atoms over the runner-up.



## a
Density functional theory data (PBE) for a geometry-optimized Pm2ZnAg5 structure.

Geometry as POSCAR:
```
Pm2ZnAg5
1.0
5.000 0.000 0.000
0.000 5.000 0.000
-2.500 -2.500 6.879
Ag Pm Zn
5 2 1
Direct
0.895 0.395 0.790
0.500 0.500 0.000
0.605 0.105 0.210
0.395 0.895 0.790
0.105 0.605 0.210
0.250 0.250 0.500
0.750 0.750 0.500
0.000 0.000 0.000
```

Properties
Total magnetization (μB/f.u.): 0.0
SG: I4/mmm, No. 139



## b
Density functional theory data (PBE) for a geometry-optimized Pm2ZnAg5 structure.

Geometry as POSCAR:
```
Pm2ZnAg5
1.0
-1.416 2.439 -3.207
-6.386 -5.939 1.146
-4.382 5.960 6.468
Ag Pm Zn
10 4 2
Direct
0.199 0.399 0.895
0.801 0.601 0.395
0.635 0.270 0.034
0.199 0.399 0.605
0.608 0.215 0.750
0.635 0.270 0.466
0.801 0.601 0.105
0.392 0.785 0.250
0.365 0.730 0.534
0.365 0.730 0.966
0.811 0.621 0.750
0.000 0.000 0.500
0.189 0.379 0.250
0.000 0.000 0.000
0.456 0.912 0.750
0.544 0.088 0.250
```

Properties
Total magnetization (μB/f.u.): 0.0
SG: Cmcm, No. 63



Which structure is most stable? b, by 4.9 kJ/mol of atoms over the runner-up.



## a
Density functional theory data (PBE) for a geometry-optimized Pm2Zn3Ag4 structure.

Geometry as POSCAR:
```
Pm2Zn3Ag4
1.0
5.809 0.000 0.000
0.000 8.124 0.000
-2.905 0.000 7.840
Pm Ag Zn
4 8 6
Direct
0.114 0.588 0.228
0.886 0.412 0.772
0.614 0.912 0.228
0.386 0.088 0.772
0.181 0.981 0.363
0.681 0.519 0.363
0.693 0.750 0.887
0.819 0.019 0.637
0.193 0.750 0.887
0.319 0.481 0.637
0.807 0.250 0.113
0.307 0.250 0.113
0.978 0.250 0.457
0.022 0.750 0.543
0.000 0.000 0.000
0.500 0.500 0.000
0.522 0.750 0.543
0.478 0.250 0.457
```

Properties
Total magnetization (μB/f.u.): 0.0
SG: Cmce, No. 64



## b
Density functional theory data (PBE) for a geometry-optimized Pm2Zn3Ag4 structure.

Geometry as POSCAR:
```
Pm2Zn3Ag4
1.0
-2.818 0.325 -4.520
-4.187 -3.313 -0.777
-5.763 4.946 0.799
Zn Ag Pm
3 4 2
Direct
0.000 0.000 0.000
0.000 0.500 0.000
0.500 0.500 0.000
0.007 0.327 0.659
0.334 0.673 0.659
0.993 0.673 0.341
0.666 0.327 0.341
0.369 0.000 0.263
0.631 0.000 0.737
```

Properties
Total magnetization (μB/f.u.): 0.0
SG: Fmmm, No. 69



Which structure is most stable? b, by 7.9 kJ/mol of atoms over the runner-up.



## a
Density functional theory data (PBE) for a geometry-optimized PrAg6 structure.

Geometry as POSCAR:
```
PrAg6
1.0
-1.651 -5.491 -0.433
7.906 -2.089 -3.646
4.202 -2.075 10.303
Ag Pr
24 4
Direct
0.991 0.563 0.808
0.509 0.563 0.808
0.009 0.437 0.192
0.250 0.067 0.913
0.250 0.895 0.520
0.750 0.685 0.264
0.250 0.146 0.149
0.750 0.605 0.020
0.509 0.063 0.692
0.750 0.354 0.649
0.750 0.854 0.851
0.250 0.395 0.980
0.750 0.433 0.413
0.250 0.567 0.587
0.750 0.933 0.087
0.250 0.815 0.764
0.250 0.646 0.351
0.991 0.063 0.692
0.250 0.315 0.736
0.491 0.937 0.308
0.009 0.937 0.308
0.750 0.185 0.236
0.750 0.105 0.480
0.491 0.437 0.192
0.750 0.242 0.933
0.750 0.742 0.567
0.250 0.758 0.067
0.250 0.258 0.433
```

Properties
Total magnetization (μB/f.u.): 0.0
SG: Pnma, No. 62



## b
Density functional theory data (PBE) for a geometry-optimized PrAg6 structure.

Geometry as POSCAR:
```
PrAg6
1.0
-0.392 -6.228 1.293
1.894 1.122 5.981
-6.072 0.752 1.782
Ag Pr
6 1
Direct
0.500 0.802 0.500
0.500 0.500 0.198
0.198 0.500 0.500
0.500 0.500 0.802
0.802 0.500 0.500
0.500 0.198 0.500
0.000 0.000 0.000
```

Properties
Total magnetization (μB/f.u.): 1.0
SG: Pm-3m, No. 221



## c
Density functional theory data (PBE) for a geometry-optimized PrAg6 structure.

Geometry as POSCAR:
```
PrAg6
1.0
6.365 0.000 0.000
-2.122 6.001 0.000
-2.122 -3.000 5.197
Ag Pr
6 1
Direct
0.500 0.750 0.250
0.750 0.500 0.250
0.500 0.250 0.750
0.250 0.500 0.750
0.750 0.250 0.500
0.250 0.750 0.500
0.000 0.000 0.000
```

Properties
Total magnetization (μB/f.u.): 0.0
SG: Im-3m, No. 229



Which structure is most stable? a, by 63.0 kJ/mol of atoms over the runner-up.